A relaxed Mg3Ga4 crystal, computed with PBE.

POSCAR file:
```
Mg3Ga4
1.0
-0.617 2.120 -2.079
2.312 -1.955 -2.680
-9.527 -5.836 -0.911
Mg Ga
3 4
Direct
0.857 0.357 0.714 Mg
0.000 0.500 0.000 Mg
0.143 0.643 0.286 Mg
0.716 0.216 0.433 Ga
0.284 0.784 0.567 Ga
0.429 0.929 0.857 Ga
0.571 0.071 0.143 Ga
```

Its space group is Immm, No. 71. The value obtained for the energy of formation is -0.12 eV/atom. The total magnetization comes out at 0.0 μB/cell.